PtWSCl2: relaxed, GGA-PBE.

Output
- crystal system = tetragonal
- space group = P4/mmm, No. 123
- energy (eV per formula unit) = -21.23
- raw formation energy (eV/atom) = 1.12
- N(E_F) (states/eV/f.u.) = 6.3
- excess energy over the best structure of this formula in the dataset (meV/atom) = 469
- total magnetization (μB per formula unit) = 4.08

a = 4.762 Å, b = 4.762 Å, c = 4.859 Å
α = 90.00°, β = 90.00°, γ = 90.00°
Positions (direct):
1 S 0.000 0.000 0.500
2 W 0.500 0.500 0.500
3 Pt 0.000 0.000 0.000
4 Cl 0.000 0.500 0.000
5 Cl 0.500 0.000 0.000